[1]
The following is a DFT calculation (PBE) of a relaxed structure of LaAlO3.

Cell: 5.0250 5.0250 6.3112 Å, 66.54 66.54 90.00°
Element x y z (fractional)
O: 0.3319 0.3319 0.3362
Al: 0.0000 0.0000 0.0000
O: 0.1615 0.8976 0.2048
La: 0.6031 0.1031 0.7938
La: 0.8969 0.3969 0.2062
O: 0.6337 0.8976 0.2048
O: 0.1024 0.8385 0.7952
O: 0.1024 0.3663 0.7952
O: 0.6681 0.6681 0.6638
Al: 0.2500 0.7500 0.5000

Values from the calculation:
ΔE_f (raw) ... -2285 meV per atom
Symmetry ... I-4m2, No. 119
Crystal system ... tetragonal

[2]
The following is a DFT calculation (PBE) of a relaxed structure of La2CdW.

Cell: 5.7366 5.7366 5.7366 Å, 132.36 132.36 69.66°
Element x y z (fractional)
La: 0.0000 0.0000 0.0000
W: 0.5000 0.5000 0.0000
Cd: 0.7500 0.2500 0.5000
La: 0.2500 0.7500 0.5000

Values from the calculation:
Symmetry ... I-4m2, No. 119
Crystal system ... tetragonal
Formation energy from the elements ... 0.47 eV per atom

[3]
The following is a DFT calculation (PBE) of a relaxed structure of Cr2Ag3.

Cell: 11.6568 11.6568 11.6568 Å, 14.54 14.54 14.54°
Last column: magnetic moment on the atom in μB.
Element x y z (fractional)
Ag: 0.2015 0.2015 0.2015  0.03
Cr: 0.6003 0.6003 0.6003  3.53
Ag: 0.7985 0.7985 0.7985  0.03
Ag: 0.0000 0.0000 0.0000  0.06
Cr: 0.3997 0.3997 0.3997  3.53

Values from the calculation:
Symmetry ... R-3m, No. 166
Crystal system ... trigonal
Formation energy from the elements ... 0.54 eV per atom

[4]
The following is a DFT calculation (PBE) of a relaxed structure of KSe2S8.

Cell: 4.3405 5.2540 15.7485 Å, 99.60 75.39 90.00°
Element x y z (fractional)
Se: 0.0430 0.2336 0.4673
S: 0.1871 0.4103 0.8206
Se: 0.9570 0.7664 0.5327
S: 0.4931 0.8080 0.6159
S: 0.6133 0.2315 0.8535
K: 0.0000 0.0000 0.0000
S: 0.3867 0.3779 0.1465
S: 0.8129 0.5897 0.1794
S: 0.6133 0.6221 0.8535
S: 0.5069 0.1920 0.3841
S: 0.3867 0.7685 0.1465

Values from the calculation:
ΔE_f (raw) ... 200 meV per atom
Symmetry ... C2/m, No. 12
Crystal system ... monoclinic

[5]
The following is a DFT calculation (PBE) of a relaxed structure of TiGe2Se4.

Cell: 6.2546 6.2546 6.2546 Å, 107.82 107.82 112.83°
Last column: magnetic moment on the atom in μB.
Element x y z (fractional)
Ge: 0.2500 0.7500 0.5000  -0.01
Se: 0.3207 0.2041 0.5249  -0.02
Se: 0.2041 0.6793 0.8834  -0.02
Se: 0.6793 0.7959 0.4751  -0.02
Ge: 0.7500 0.2500 0.5000  -0.01
Se: 0.7959 0.3207 0.1166  -0.02
Ti: 0.5000 0.5000 0.0000  0.83

Values from the calculation:
ΔE_f (raw) ... -245 meV per atom
Symmetry ... I4/m, No. 87
Crystal system ... tetragonal

[6]
The following is a DFT calculation (PBE) of a relaxed structure of RbPtCl.

Cell: 3.8926 5.0467 9.8773 Å, 97.51 92.13 67.37°
Element x y z (fractional)
Rb: 0.0136 0.9735 0.6413
Pt: 0.6729 0.6027 0.3690
Cl: 0.6836 0.6749 0.8588
Rb: 0.3756 0.3286 0.0451
Cl: 0.0151 0.9044 0.2975
Pt: 0.3515 0.2442 0.3739

Values from the calculation:
ΔE_f (raw) ... -725 meV per atom
Symmetry ... P1, No. 1
ΔE to the lowest computed polymorph ... 48.1 meV/atom
Crystal system ... triclinic